DFT (GGA-PBE) results for a relaxed Zn2CrMo crystal.

Calculated values
N(E_F): 0.5543 states/eV per atom
formation energy: 0.20 eV/atom
polymorph energy (0 for the lowest one): 62 meV per atom

Cell lengths 2.582, 4.188, 5.135 Å; angles 90.00, 90.00, 90.00 degrees
Space group Pmmm (No. 47)
Inequivalent atoms, fractional coordinates:
Zn (0.000, 0.000, 0.243) (multiplicity 2)
Cr (0.500, 0.500, 0.000) (multiplicity 1)
Mo (0.500, 0.500, 0.500) (multiplicity 1)